PBE-GGA CuBSbW2, optimized geometry; total magnetic moment = 3.0 μB/f.u.; mass density = 9.54 g/cm3; raw formation energy = 2.5864 eV per atom; Fermi-level density of states = 5.9 states/eV per cell
1.0
4.667 0.000 0.000
0.000 4.667 0.000
0.000 0.000 4.504
Cu B Sb W
1 1 1 2
Direct
0.000 0.000 0.000
0.500 0.500 0.500
0.000 0.000 0.500
0.000 0.500 0.000
0.500 0.000 0.000